AlIn2O (PBE, relaxed); energy = -3.392 eV per atom; distance to the lowest polymorph of the same formula = 1.128 eV per atom; ΔE_f (raw) = 0.608 eV/f.u.
1.0
0.733 -3.755 -2.860
-3.703 -2.620 -1.498
-1.359 0.182 -4.576
O In Al
1 2 1
Direct
0.000 0.000 0.000
0.750 0.750 0.750
0.250 0.250 0.250
0.500 0.500 0.500